A geometry-optimized BaMg2As2 structure, computed with PBEsol.

Unit cell a=4.473 b=4.473 c=7.681 alpha=90.00 beta=90.00 gamma=120.00
Element x y z (fractional)
1 Mg 0.667 0.333 0.376
2 Mg 0.333 0.667 0.624
3 As 0.667 0.333 0.729
4 As 0.333 0.667 0.271
5 Ba 0.000 0.000 0.000

Properties
**Raw total energy**: -20.5 eV per cell

=====

A geometry-optimized BaZn2Cu structure, computed with PBEsol.

Unit cell a=4.969 b=4.969 c=4.969 alpha=90.27 beta=119.84 gamma=119.84
Element x y z (fractional)
1 Ba 0.000 0.500 0.500
2 Cu 0.500 0.750 0.250
3 Zn 0.000 0.000 0.000
4 Zn 0.500 0.250 0.750

Properties
**Raw total energy**: -8.9 eV per cell

=====

A geometry-optimized Ba2BePt structure, computed with PBEsol.

Unit cell a=4.532 b=4.532 c=6.354 alpha=90.00 beta=90.00 gamma=90.00
Element x y z (fractional)
1 Be 0.000 0.000 0.000
2 Ba 0.000 0.000 0.500
3 Ba 0.500 0.500 0.000
4 Pt 0.500 0.500 0.500

Properties
**Raw total energy**: -14.5 eV per cell

=====

A geometry-optimized CuSeS structure, computed with PBEsol.

Unit cell a=5.871 b=5.871 c=5.871 alpha=90.00 beta=90.00 gamma=90.00
Element x y z (fractional)
1 Cu 0.514 0.486 0.986
2 Cu 0.486 0.986 0.514
3 Cu 0.986 0.514 0.486
4 Cu 0.014 0.014 0.014
5 Se 0.888 0.112 0.612
6 Se 0.112 0.612 0.888
7 Se 0.612 0.888 0.112
8 Se 0.388 0.388 0.388
9 S 0.105 0.895 0.395
10 S 0.895 0.395 0.105
11 S 0.395 0.105 0.895
12 S 0.605 0.605 0.605

Properties
**Uncorrected formation energy**: -0.4 eV/f.u.
**Raw total energy**: -51.8 eV per cell

=====

A geometry-optimized LiRu2Br structure, computed with PBEsol.

Unit cell a=3.409 b=3.409 c=6.830 alpha=104.45 beta=104.45 gamma=90.00
Element x y z (fractional)
1 Br 0.500 0.500 0.000
2 Li 0.000 0.000 0.000
3 Ru 0.750 0.250 0.500
4 Ru 0.250 0.750 0.500

Properties
**Uncorrected formation energy**: 2.3 eV/f.u.
**Raw total energy**: -21.9 eV per cell

=====

A geometry-optimized MgNb3O structure, computed with PBEsol.

Unit cell a=4.269 b=4.269 c=4.269 alpha=90.00 beta=90.00 gamma=90.00
Element x y z (fractional)
1 Nb 0.000 0.500 0.000
2 Nb 0.000 0.000 0.500
3 Nb 0.500 0.000 0.000
4 Mg 0.500 0.500 0.500
5 O 0.000 0.000 0.000

Properties
**Uncorrected formation energy**: -2.9 eV/f.u.
**Raw total energy**: -42.4 eV per cell

=====

A geometry-optimized Re2TcF structure, computed with PBEsol.

Unit cell a=4.241 b=4.241 c=4.241 alpha=60.00 beta=60.00 gamma=60.00
Element x y z (fractional)
1 Re 0.250 0.250 0.250
2 Re 0.750 0.750 0.750
3 Tc 0.500 0.500 0.500
4 F 0.000 0.000 0.000

Properties
**Uncorrected formation energy**: 1.8 eV/f.u.
**Raw total energy**: -38.1 eV per cell

=====

A geometry-optimized ZrFe2OsRu structure, computed with PBEsol.

Unit cell a=4.322 b=4.322 c=4.746 alpha=90.00 beta=90.00 gamma=90.00
Last column: magnetic moment on the atom in μB.
Element x y z (fractional)
1 Ru 0.500 0.500 0.500  1.73
2 Os 0.000 0.000 0.500  0.78
3 Fe 0.000 0.500 0.000  2.06
4 Fe 0.500 0.000 0.000  2.06
5 Zr 0.000 0.000 0.000  -0.30

Properties
**Raw total energy**: -38.5 eV per cell